1.
{
  "formula": "Ni2MoOs",
  "functional": "PBE-GGA",
  "state": "relaxed",
  "de_polymorph_mev_per_atom": 172,
  "crystal_system": "cubic",
  "density_g_cm3": 12.585,
  "sg": "No. 216",
  "n_ef_per_ev_cell": 4.3,
  "formation_energy_ev_per_fu": 0.63,
  "cell": [[4.223, 0.000, 0.000], [2.111, 3.657, 0.000], [2.111, 1.219, 3.448]],
  "species": ["Mo", "Ni", "Ni", "Os"],
  "fractional_positions": [[0.500, 0.500, 0.500], [0.000, 0.000, 0.000], [0.750, 0.750, 0.750], [0.250, 0.250, 0.250]]
}

2.
{
  "formula": "HgRhN3",
  "functional": "PBE-GGA",
  "state": "relaxed",
  "crystal_system": "cubic",
  "density_g_cm3": 9.319,
  "sg": "No. 221",
  "n_ef_per_ev_cell": 4.6,
  "e_tot_ev_per_cell": -23.8,
  "cell": [[3.949, 0.000, 0.000], [0.000, 3.949, 0.000], [0.000, 0.000, 3.949]],
  "species": ["Rh", "Hg", "N", "N", "N"],
  "fractional_positions": [[0.000, 0.000, 0.000], [0.500, 0.500, 0.500], [0.000, 0.500, 0.000], [0.000, 0.000, 0.500], [0.500, 0.000, 0.000]]
}

3.
{
  "formula": "CaNdAsO",
  "functional": "PBE-GGA",
  "state": "relaxed",
  "crystal_system": "tetragonal",
  "density_g_cm3": 5.248,
  "sg": "No. 129",
  "n_ef_per_ev_cell": 0.7,
  "e_tot_ev_per_cell": -50.0,
  "cell": [[4.392, 0.000, 0.000], [0.000, 4.392, 0.000], [0.000, 0.000, 9.029]],
  "species": ["Ca", "Ca", "Nd", "Nd", "As", "As", "O", "O"],
  "fractional_positions": [[0.000, 0.000, 0.500], [0.500, 0.500, 0.500], [0.500, 0.000, 0.838], [0.000, 0.500, 0.162], [0.000, 0.500, 0.815], [0.500, 0.000, 0.185], [0.000, 0.500, 0.418], [0.500, 0.000, 0.582]]
}

4.
{
  "formula": "PmZnAgBi",
  "functional": "PBE-GGA",
  "state": "relaxed",
  "crystal_system": "cubic",
  "density_g_cm3": 9.027,
  "sg": "No. 216",
  "n_ef_per_ev_cell": 1.6,
  "formation_energy_ev_per_fu": -0.95,
  "cell": [[5.157, 0.000, 0.000], [2.579, 4.466, 0.000], [2.579, 1.489, 4.211]],
  "species": ["Zn", "Bi", "Ag", "Pm"],
  "fractional_positions": [[0.000, 0.000, 0.000], [0.250, 0.250, 0.250], [0.500, 0.500, 0.500], [0.750, 0.750, 0.750]]
}

5.
{
  "formula": "FeCo2GeH",
  "functional": "PBE-GGA",
  "state": "relaxed",
  "crystal_system": "tetragonal",
  "density_g_cm3": 8.588,
  "sg": "No. 123",
  "n_ef_per_ev_cell": 5.3,
  "e_tot_ev_per_cell": -31.0,
  "cell": [[-3.440, -1.157, -0.291], [0.765, -1.457, -3.249], [0.908, -3.100, 1.604]],
  "species": ["H", "Ge", "Co", "Co", "Fe"],
  "fractional_positions": [[0.000, 0.000, 0.000], [0.500, 0.500, 0.500], [0.000, 0.500, 0.000], [0.500, 0.000, 0.000], [0.000, 0.000, 0.500]]
}

6.
{
  "formula": "CsK2FeOs",
  "functional": "PBE-GGA",
  "state": "relaxed",
  "crystal_system": "tetragonal",
  "density_g_cm3": 3.131,
  "sg": "No. 123",
  "n_ef_per_ev_cell": 2.7,
  "formation_energy_ev_per_fu": 10.49,
  "cell": [[6.806, 0.000, 0.000], [0.000, 5.235, 0.000], [0.000, 0.000, 6.806]],
  "species": ["Cs", "K", "K", "Os", "Fe"],
  "fractional_positions": [[0.000, 0.000, 0.000], [0.000, 0.000, 0.500], [0.500, 0.000, 0.000], [0.000, 0.500, 0.000], [0.500, 0.500, 0.500]]
}

7.
{
  "formula": "Ba2NdO3",
  "functional": "PBE-GGA",
  "state": "relaxed",
  "crystal_system": "monoclinic",
  "density_g_cm3": 6.532,
  "sg": "No. 15",
  "n_ef_per_ev_cell": 2.4,
  "e_tot_ev_per_cell": -77.7,
  "cell": [[5.430, 0.000, 0.000], [0.000, 7.499, 0.005], [-2.715, -1.873, 5.829]],
  "species": ["Ba", "Ba", "Ba", "Ba", "Nd", "Nd", "O", "O", "O", "O", "O", "O"],
  "fractional_positions": [[0.669, 0.584, 0.337], [0.668, 0.084, 0.337], [0.332, 0.916, 0.663], [0.331, 0.416, 0.663], [0.983, 0.750, 0.000], [0.017, 0.250, 0.000], [0.461, 0.250, 0.000], [0.539, 0.750, 0.000], [0.136, 0.069, 0.274], [0.861, 0.431, 0.726], [0.139, 0.569, 0.274], [0.864, 0.931, 0.726]]
}

8.
{
  "formula": "TmTh4Sc2",
  "functional": "PBE-GGA",
  "state": "relaxed",
  "de_polymorph_mev_per_atom": 0,
  "crystal_system": "triclinic",
  "density_g_cm3": 9.487,
  "sg": "No. 2",
  "n_ef_per_ev_cell": 21.6,
  "formation_energy_ev_per_fu": 0.28,
  "cell": [[8.426, 0.362, 1.128], [0.227, 8.670, -3.378], [-3.730, -6.909, 7.851]],
  "species": ["Tm", "Tm", "Th", "Th", "Th", "Th", "Th", "Th", "Th", "Th", "Sc", "Sc", "Sc", "Sc"],
  "fractional_positions": [[0.046, 0.770, 0.498], [0.204, 0.908, 0.930], [0.976, 0.193, 0.281], [0.274, 0.486, 0.147], [0.765, 0.474, 0.637], [0.840, 0.050, 0.856], [0.343, 0.058, 0.366], [0.485, 0.204, 0.791], [0.410, 0.628, 0.572], [0.907, 0.621, 0.063], [0.550, 0.768, 0.002], [0.700, 0.911, 0.427], [0.625, 0.339, 0.214], [0.125, 0.339, 0.714]]
}

9.
{
  "formula": "TaAlNi2",
  "functional": "PBE-GGA",
  "state": "relaxed",
  "crystal_system": "tetragonal",
  "density_g_cm3": 10.243,
  "sg": "No. 123",
  "n_ef_per_ev_cell": 2.4,
  "formation_energy_ev_per_fu": -1.76,
  "cell": [[-0.836, -2.467, 1.026], [2.241, -1.233, -1.141], [3.500, 1.154, 5.628]],
  "species": ["Ni", "Ni", "Al", "Ta"],
  "fractional_positions": [[0.000, 0.000, 0.970], [0.000, 0.000, 0.530], [0.500, 0.500, 0.750], [0.500, 0.500, 0.250]]
}

10.
{
  "formula": "Ac2LaPmS6",
  "functional": "PBE-GGA",
  "state": "relaxed",
  "crystal_system": "trigonal",
  "density_g_cm3": 5.063,
  "sg": "No. 146",
  "n_ef_per_ev_cell": 0.0,
  "e_tot_ev_per_cell": -63.8,
  "cell": [[7.428, 0.000, 0.000], [3.714, 6.433, 0.000], [3.714, 2.145, 6.385]],
  "species": ["Ac", "Ac", "La", "Pm", "S", "S", "S", "S", "S", "S"],
  "fractional_positions": [[0.525, 0.525, 0.425], [0.026, 0.026, 0.922], [0.312, 0.312, 0.064], [0.814, 0.814, 0.558], [0.616, 0.191, 0.259], [0.191, 0.934, 0.259], [0.934, 0.616, 0.259], [0.442, 0.694, 0.757], [0.694, 0.108, 0.757], [0.108, 0.442, 0.757]]
}

11.
{
  "formula": "Sc2CuReMo",
  "functional": "PBE-GGA",
  "state": "relaxed",
  "crystal_system": "tetragonal",
  "density_g_cm3": 7.332,
  "sg": "No. 123",
  "n_ef_per_ev_cell": 7.1,
  "formation_energy_ev_per_fu": 5.59,
  "cell": [[4.611, 0.000, 0.000], [0.000, 4.641, 0.000], [0.000, 0.000, 4.611]],
  "species": ["Sc", "Sc", "Re", "Mo", "Cu"],
  "fractional_positions": [[0.000, 0.000, 0.500], [0.500, 0.000, 0.000], [0.500, 0.500, 0.500], [0.000, 0.500, 0.000], [0.000, 0.000, 0.000]]
}

12.
{
  "formula": "NaLi3Si",
  "functional": "PBE-GGA",
  "state": "relaxed",
  "de_polymorph_mev_per_atom": 0,
  "crystal_system": "monoclinic",
  "density_g_cm3": 1.148,
  "sg": "No. 15",
  "n_ef_per_ev_cell": 8.2,
  "cell": [[-1.204, 0.008, 7.498], [5.766, -4.360, 1.846], [4.482, 5.738, 1.629]],
  "species": ["Na", "Na", "Na", "Na", "Li", "Li", "Li", "Li", "Li", "Li", "Li", "Li", "Li", "Li", "Li", "Li", "Si", "Si", "Si", "Si"],
  "fractional_positions": [[0.250, 0.005, 0.995], [0.750, 0.995, 0.005], [0.250, 0.334, 0.666], [0.750, 0.666, 0.334], [0.564, 0.661, 0.955], [0.936, 0.045, 0.339], [0.436, 0.339, 0.045], [0.064, 0.955, 0.661], [0.880, 0.346, 0.954], [0.620, 0.046, 0.654], [0.120, 0.654, 0.046], [0.380, 0.954, 0.346], [0.394, 0.676, 0.615], [0.106, 0.385, 0.324], [0.606, 0.324, 0.385], [0.894, 0.615, 0.676], [0.619, 0.404, 0.738], [0.881, 0.262, 0.596], [0.381, 0.596, 0.262], [0.119, 0.738, 0.404]]
}